Record 1
VASP calculation (PBE) on crystalline KSr3Ir at its relaxed geometry.

## Properties
The value obtained for the density of states at the Fermi level is 26.7 states/eV per cell. The energy relative to the lowest polymorph listed for this composition is 59 meV per atom. For the energy relative to the elements, the calculation gives -0.0410 eV per atom. The value obtained for the final energy is -3.0418 eV per atom. The value obtained for the volume is 1587 Å³ per cell.

CIF file:
```
data_KSr3Ir
_chemical_formula_sum 'K6 Sr18 Ir6'
_cell_length_a 7.5602
_cell_length_b 7.5602
_cell_length_c 32.0645
_cell_angle_alpha 90.00
_cell_angle_beta 90.00
_cell_angle_gamma 120.00
_space_group_name_H-M_alt 'R -3'
_space_group_IT_number 148
_space_group_name_Hall '-R 3'
loop_
_atom_site_label
_atom_site_type_symbol
_atom_site_fract_x
_atom_site_fract_y
_atom_site_fract_z
_atom_site_occupancy
K1 K 0.0000 0.0000 0.1661 1
Sr1 Sr 0.0048 0.6533 0.0499 1
Ir1 Ir 0.0000 0.0000 0.3320 1
```



Record 2
VASP calculation (PBE) on crystalline Mg3Pt5 at its relaxed geometry.

## Properties
The value obtained for the density of states at the Fermi level is 6.1 states/eV per cell. For the energy relative to the elements, the calculation gives -0.4902 eV per atom. The value obtained for the final energy is -4.8637 eV per atom. The value obtained for the volume is 259 Å³ per cell.

CIF file:
```
data_Mg3Pt5
_chemical_formula_sum 'Mg6 Pt10'
_cell_length_a 7.5445
_cell_length_b 7.5445
_cell_length_c 5.2599
_cell_angle_alpha 90.00
_cell_angle_beta 90.00
_cell_angle_gamma 120.00
_space_group_name_H-M_alt 'P 63/m c m'
_space_group_IT_number 193
_space_group_name_Hall '-P 6c 2'
loop_
_atom_site_label
_atom_site_type_symbol
_atom_site_fract_x
_atom_site_fract_y
_atom_site_fract_z
_atom_site_occupancy
Mg1 Mg 0.0000 0.4016 0.2500 1
Pt1 Pt 0.0000 0.2210 0.7500 1
Pt2 Pt 0.3333 0.6667 0.0000 1
```



Record 3
VASP calculation (PBE) on crystalline YEr3Co at its relaxed geometry.

## Properties
The value obtained for the density of states at the Fermi level is 27.1 states/eV per cell. The energy relative to the lowest polymorph listed for this composition is 77 meV per atom. For the energy relative to the elements, the calculation gives -0.0364 eV per atom. The value obtained for the final energy is -5.4881 eV per atom. The value obtained for the volume is 529 Å³ per cell.

CIF file:
```
data_YEr3Co
_chemical_formula_sum 'Y4 Er12 Co4'
_cell_length_a 7.7035
_cell_length_b 7.2532
_cell_length_c 9.8940
_cell_angle_alpha 90.00
_cell_angle_beta 106.83
_cell_angle_gamma 90.00
_space_group_name_H-M_alt 'P 1 21/c 1'
_space_group_IT_number 14
loop_
_space_group_symop_operation_xyz
'x,y,z'
'-x,-y,-z'
'-x,y+1/2,-z+1/2'
'x,-y+1/2,z+1/2'
loop_
_atom_site_label
_atom_site_type_symbol
_atom_site_fract_x
_atom_site_fract_y
_atom_site_fract_z
_atom_site_occupancy
Y1 Y 0.1864 0.0562 0.2536 1
Er1 Er 0.0871 0.7003 0.0339 1
Er2 Er 0.2920 0.5080 0.3842 1
Er3 Er 0.4171 0.1280 0.6067 1
Co1 Co 0.4545 0.7461 0.6097 1
```



Record 4
VASP calculation (PBE) on crystalline TbFeGe3Ru at its relaxed geometry.

## Properties
The value obtained for the density of states at the Fermi level is 13.9 states/eV per cell. For the energy relative to the elements, the calculation gives -0.1867 eV per atom. The value obtained for the final energy is -6.2235 eV per atom. The value obtained for the volume is 466 Å³ per cell.

CIF file:
```
data_TbFeGe3Ru
_chemical_formula_sum 'Tb4 Fe4 Ge12 Ru4'
_cell_length_a 7.6261
_cell_length_b 10.8288
_cell_length_c 5.6393
_cell_angle_alpha 90.00
_cell_angle_beta 90.00
_cell_angle_gamma 90.00
_space_group_name_H-M_alt 'C m c m'
_space_group_IT_number 63
_space_group_name_Hall '-C 2c 2'
loop_
_atom_site_label
_atom_site_type_symbol
_atom_site_fract_x
_atom_site_fract_y
_atom_site_fract_z
_atom_site_occupancy
Tb1 Tb 0.0000 0.2489 0.2500 1
Fe1 Fe 0.0000 0.0386 0.7500 1
Ge1 Ge 0.0000 0.2404 0.7500 1
Ge2 Ge 0.2411 0.0000 0.0000 1
Ru1 Ru 0.0000 0.4538 0.7500 1
```



Record 5
VASP calculation (PBE) on crystalline Rb2Rh3Se6 at its relaxed geometry.

## Properties
The value obtained for the density of states at the Fermi level is 25.1 states/eV per cell. The raw formation energy is -625 meV/atom. The value obtained for the final energy is -4.7062 eV per atom. The value obtained for the volume is 581 Å³ per cell.

CIF file:
```
data_Rb2Rh3Se6
_chemical_formula_sum 'Rb4 Rh6 Se12'
_cell_length_a 6.6112
_cell_length_b 11.4534
_cell_length_c 7.9870
_cell_angle_alpha 90.00
_cell_angle_beta 105.99
_cell_angle_gamma 90.00
_space_group_name_H-M_alt 'C 1 2/m 1'
_space_group_IT_number 12
loop_
_space_group_symop_operation_xyz
'x,y,z'
'-x,-y,-z'
'-x,y,-z'
'x,-y,z'
'x+1/2,y+1/2,z'
'-x+1/2,-y+1/2,-z'
'-x+1/2,y+1/2,-z'
'x+1/2,-y+1/2,z'
loop_
_atom_site_label
_atom_site_type_symbol
_atom_site_fract_x
_atom_site_fract_y
_atom_site_fract_z
_atom_site_occupancy
Rb1 Rb 0.0000 0.1668 0.0000 1
Rh1 Rh 0.0000 0.0000 0.5000 1
Rh2 Rh 0.0000 0.3320 0.5000 1
Se1 Se 0.2181 0.5000 0.6620 1
Se2 Se 0.2214 0.1654 0.6612 1
```



Record 6
VASP calculation (PBE) on crystalline LaTiCd2 at its relaxed geometry.

## Properties
The value obtained for the density of states at the Fermi level is 37.6 states/eV per cell. The energy relative to the lowest polymorph listed for this composition is 0 meV per atom. For the energy relative to the elements, the calculation gives 0.0001 eV per atom. The value obtained for the final energy is -3.6631 eV per atom. The value obtained for the volume is 404 Å³ per cell.

CIF file:
```
data_LaTiCd2
_chemical_formula_sum 'La4 Ti4 Cd8'
_cell_length_a 7.3906
_cell_length_b 7.3906
_cell_length_c 7.3906
_cell_angle_alpha 90.00
_cell_angle_beta 90.00
_cell_angle_gamma 90.00
_space_group_name_H-M_alt 'F m -3 m'
_space_group_IT_number 225
_space_group_name_Hall '-F 4 2 3'
loop_
_atom_site_label
_atom_site_type_symbol
_atom_site_fract_x
_atom_site_fract_y
_atom_site_fract_z
_atom_site_occupancy
La1 La 0.0000 0.0000 0.0000 1
Ti1 Ti 0.0000 0.0000 0.5000 1
Cd1 Cd 0.2500 0.2500 0.2500 1
```